## BeGeTe3 (PBE)

Data for crystalline BeGeTe3 at its relaxed geometry.

Properties
**Calculated total energy**: -13.1 eV per formula unit
**Space-group type**: Pm-3m, No. 221
**Uncorrected formation energy**: 0.936 eV/atom
**Total magnetization**: 0.00 μB per cell

a b c (Å): 5.381 5.381 5.381
angles (deg): 90.00 90.00 90.00
Atoms (fractional coordinates):
Be: 0.000 0.000 0.000
Ge: 0.500 0.500 0.500
Te: 0.000 0.500 0.500
Te: 0.500 0.000 0.500
Te: 0.500 0.500 0.000